Record 1
# Pr2DyTm, optimized geometry, DFT PBE
data_Pr2DyTm
_chemical_formula_sum 'Pr2 Dy1 Tm1'
_cell_length_a 5.0293
_cell_length_b 5.1469
_cell_length_c 5.1469
_cell_angle_alpha 90.00
_cell_angle_beta 90.00
_cell_angle_gamma 90.00
_symmetry_space_group_name_H-M 'P 1'
_symmetry_Int_Tables_number 1
loop_
_symmetry_equiv_pos_as_xyz
'x,y,z'
loop_
_atom_site_label
_atom_site_type_symbol
_atom_site_fract_x
_atom_site_fract_y
_atom_site_fract_z
Pr1 Pr 0.0000 0.0000 0.5000
Pr2 Pr 0.0000 0.5000 0.0000
Tm1 Tm 0.5000 0.0000 0.0000
Dy1 Dy 0.5000 0.5000 0.5000
# - DOS(E_F): 5.960 states/eV/f.u.
# - Space-group type: P4/mmm, No. 123
# - Crystal system: tetragonal
# - Total magnetization: 0.00 μB/atom
# - ΔE_f: 0.020 eV/atom

---

Record 2
# Tb2GaAs, optimized geometry, DFT PBE
data_Tb2GaAs
_chemical_formula_sum 'Tb4 Ga2 As2'
_cell_length_a 4.1091
_cell_length_b 4.2273
_cell_length_c 11.6972
_cell_angle_alpha 100.41
_cell_angle_beta 90.00
_cell_angle_gamma 90.00
_symmetry_space_group_name_H-M 'P 1'
_symmetry_Int_Tables_number 1
loop_
_symmetry_equiv_pos_as_xyz
'x,y,z'
loop_
_atom_site_label
_atom_site_type_symbol
_atom_site_fract_x
_atom_site_fract_y
_atom_site_fract_z
Tb1 Tb 0.7500 0.6862 0.3723
Tb2 Tb 0.2500 0.3138 0.6277
Tb3 Tb 0.7500 0.9342 0.8683
Tb4 Tb 0.2500 0.0658 0.1317
Ga1 Ga 0.2500 0.4634 0.9269
Ga2 Ga 0.7500 0.5366 0.0731
As1 As 0.2500 0.1885 0.3769
As2 As 0.7500 0.8115 0.6231
# - DOS(E_F): 2.021 states/eV/f.u.
# - Space-group type: Cmcm, No. 63
# - Crystal system: orthorhombic
# - Total magnetization: 0.00 μB/atom
# - ΔE_f: -1.074 eV/atom

---

no.,VASP energy (eV per atom)
1,-4.64
2,-5.31